The following is a GGA-PBE calculation of an optimized crystal structure of ThNiMoP2, from Alexandria via LeMat-Bulk.

## Properties
energy of formation = -4.17 eV/f.u.
Fermi-level density of states = 2.529 states/eV/f.u.
SG = I-4m2, No. 119
E = -0.5736 Ry per atom
calculated volume = 86 Å³/cell

a = 6.3380 Å, b = 6.3380 Å, c = 6.3380 Å
α = 144.39°, β = 144.39°, γ = 51.25°
With the nearest neighbours (Å) after each atom.
Element x y z (fractional)
Th 0.0000 0.0000 0.0000  8 P 3.14, 4 Mo 3.45, 4 Ni 3.45
Ni 0.2500 0.7500 0.5000  4 P 2.35
Mo 0.7500 0.2500 0.5000  4 P 2.35
P 0.3668 0.3668 0.0000  2 Mo 2.35, 2 Ni 2.35
P 0.6332 0.6332 0.0000  2 Ni 2.35, 2 Mo 2.35